Computed, not measured: crystalline RbNiF at its relaxed geometry at the PBE+U level of DFT.

Results
**Magnetization**: 0.00 μB per cell
**E**: -14.701 eV for the cell shown
**Volume**: 167.4 Å³/cell
**Offset from the most stable computed form**: 0.5450 eV/atom
**SG**: P6_3/mmc (194)

Cell lengths 5.088, 5.088, 7.465 Å; angles 90.00, 90.00, 120.00 degrees
Sites, in units of the cell vectors:
Rb 0.333 0.667 0.250
Ni 0.000 0.000 0.500
F 0.000 0.000 0.250
Rb 0.667 0.333 0.750
Ni 0.000 0.000 0.000
F 0.000 0.000 0.750